Material: Cs2HgMo2O7
Method: DFT, GGA+U
State: relaxed

The structure belongs to space group R32 (No. 155, hexagonal axes); the cell edges are 7.7417, 7.7417 and 27.4012 Å and the angles 90.00°, 90.00° and 120.00°. The asymmetric unit holds Cs at (0.0000, 0.0000, 0.2115), Hg at (0.0000, 0.0000, 0.5000), Mo at (0.0000, 0.0000, 0.0700), O at (0.0000, 0.0000, 0.0000) and O at (0.0899, 0.5209, 0.5731).

For the volume, the calculation gives 39.51 Å³/atom. Its total energy is -0.430 Ry/atom.